one) A plane-wave DFT calculation with GGA-PBE was carried out for a relaxed Pr7Nd2Sc2 crystal.

```
11
Lattice="6.589 0.000 0.000 -0.885 6.687 0.000 -0.607 -1.343 8.562" Properties=species:S:1:pos:R:3 pbc="T T T"
Pr 0.000 0.000 0.000
Pr -0.140 2.032 2.832
Pr 1.715 1.210 5.554
Pr 1.895 4.715 6.621
Pr 3.202 0.629 1.941
Pr 3.382 4.133 3.008
Pr 5.237 3.312 5.730
Nd 1.202 3.763 0.317
Nd 3.895 1.581 8.244
Sc 0.038 5.399 3.357
Sc 5.059 -0.055 5.205
```

two) A plane-wave DFT calculation with GGA-PBE was carried out for a relaxed Pr7Nd2Sc2 crystal.

```
11
Lattice="4.277 -5.453 0.000 4.277 5.453 0.000 -1.950 0.000 8.109" Properties=species:S:1:pos:R:3 pbc="T T T"
Pr 0.000 0.000 0.000
Pr 0.948 2.322 6.657
Pr 0.767 0.000 3.882
Pr 5.656 2.322 1.451
Pr 0.948 -2.322 6.657
Pr 5.837 0.000 4.227
Pr 5.656 -2.322 1.451
Nd 3.245 0.000 1.490
Nd 3.358 0.000 6.619
Sc 3.302 2.309 4.054
Sc 3.302 -2.309 4.054
```

Of them, two) has the lowest stability.

one) A plane-wave DFT calculation with GGA-PBE was carried out for a relaxed Pr4Nd7Sc crystal.

```
12
Lattice="8.221 -3.044 0.000 8.221 3.044 0.000 -4.511 0.000 8.497" Properties=species:S:1:pos:R:3 pbc="T T T"
Pr -0.617 0.000 3.917
Pr 2.542 0.000 2.166
Pr 9.389 0.000 6.330
Pr 12.548 0.000 4.580
Nd 0.000 0.000 0.000
Nd -0.479 0.000 7.579
Nd 2.545 0.000 5.511
Nd 5.841 0.000 2.429
Nd 6.090 0.000 6.067
Nd 9.386 0.000 2.985
Nd 12.410 0.000 0.917
Sc 8.221 0.000 0.000
```

two) A plane-wave DFT calculation with GGA-PBE was carried out for a relaxed Pr4Nd7Sc crystal.

```
12
Lattice="6.331 0.000 0.000 -2.082 7.011 0.000 -1.049 -2.223 9.365" Properties=species:S:1:pos:R:3 pbc="T T T"
Pr -0.511 -0.169 3.161
Pr 0.546 4.006 7.758
Pr 2.653 0.783 1.608
Pr 3.710 4.958 6.205
Nd -0.509 1.750 0.021
Nd -1.511 3.382 3.140
Nd 1.591 0.468 7.769
Nd 1.600 2.394 4.683
Nd 1.608 4.320 1.596
Nd 4.710 1.406 6.226
Nd 3.708 3.038 9.345
Sc 2.641 -1.111 4.683
```

Of them, one) has the lowest stability.

one) A plane-wave DFT calculation with GGA-PBE was carried out for a relaxed PrNdScTl crystal.

```
8
Lattice="4.827 0.000 0.000 0.000 4.827 0.000 0.000 0.000 9.873" Properties=species:S:1:pos:R:3 pbc="T T T"
Pr 1.207 3.620 0.000
Pr 3.620 1.207 0.000
Nd 1.207 1.207 2.552
Nd 3.620 3.620 7.320
Sc 1.207 3.620 4.936
Sc 3.620 1.207 4.936
Tl 1.207 1.207 7.099
Tl 3.620 3.620 2.774
```

two) A plane-wave DFT calculation with GGA-PBE was carried out for a relaxed PrNdScTl crystal.

```
4
Lattice="0.000 3.903 3.903 3.903 0.000 3.903 3.903 3.903 0.000" Properties=species:S:1:pos:R:3 pbc="T T T"
Pr 0.000 0.000 0.000
Nd 3.903 3.903 3.903
Sc 1.951 1.951 1.951
Tl 5.854 5.854 5.854
```

Of them, two) has the lowest stability.

one) A plane-wave DFT calculation with GGA-PBE was carried out for a relaxed Pr2NdSe3 crystal.

```
6
Lattice="-2.134 3.004 6.371 2.134 -3.004 6.371 2.134 3.004 -6.371" Properties=species:S:1:pos:R:3 pbc="T T T"
Pr 0.000 0.000 2.136
Pr 0.000 0.000 10.606
Nd 0.000 0.000 6.371
Se 2.134 0.000 0.000
Se 2.134 0.000 4.269
Se 0.000 3.004 2.101
```

two) A plane-wave DFT calculation with GGA-PBE was carried out for a relaxed Pr2NdSe3 crystal.

```
12
Lattice="4.205 0.000 0.000 -2.102 3.641 0.000 0.000 0.000 21.376" Properties=species:S:1:pos:R:3 pbc="T T T"
Pr 0.000 2.428 1.768
Pr 0.000 2.428 8.920
Pr 2.102 1.214 12.456
Pr 2.102 1.214 19.608
Nd 0.000 0.000 5.344
Nd 0.000 0.000 16.032
Se 0.000 0.000 0.000
Se 0.000 0.000 10.688
Se 0.000 2.428 14.242
Se 0.000 2.428 17.823
Se 2.102 1.214 3.553
Se 2.102 1.214 7.135
```

Of them, two) has the lowest stability.

one) A plane-wave DFT calculation with GGA-PBE was carried out for a relaxed PrNdSe crystal.

```
12
Lattice="4.345 -5.672 0.000 4.345 5.672 0.000 0.000 0.000 7.768" Properties=species:S:1:pos:R:3 pbc="T T T"
Pr 1.761 0.000 0.000
Pr 2.583 0.000 3.884
Pr 6.106 0.000 3.884
Pr 6.928 0.000 0.000
Nd 4.345 3.386 5.157
Nd 4.345 2.286 1.273
Nd 4.345 -2.286 6.495
Nd 4.345 -3.386 2.611
Se 4.345 4.950 2.348
Se 4.345 0.722 6.232
Se 4.345 -0.722 1.536
Se 4.345 -4.950 5.421
```

two) A plane-wave DFT calculation with GGA-PBE was carried out for a relaxed PrNdSe crystal.

```
3
Lattice="4.056 0.000 0.000 -2.028 3.513 0.000 0.000 0.000 6.781" Properties=species:S:1:pos:R:3 pbc="T T T"
Pr 0.000 0.000 0.000
Nd 0.000 2.342 3.719
Se 2.028 1.171 1.879
```

Of them, one) has the lowest stability.

one) A plane-wave DFT calculation with GGA-PBE was carried out for a relaxed Pr3NdSe6 crystal.

```
20
Lattice="6.233 3.599 4.941 -6.233 3.599 4.941 0.000 -7.197 4.941" Properties=species:S:1:pos:R:3 pbc="T T T"
Pr -4.232 -1.222 6.875
Pr -1.057 -4.276 7.948
Pr -3.174 3.054 7.948
Pr 3.174 -3.054 6.875
Pr 1.057 4.276 6.875
Pr 4.232 1.222 7.948
Nd 0.000 0.000 0.000
Nd 0.000 0.000 7.412
Se -4.018 -3.948 8.023
Se -5.428 1.506 6.800
Se -1.459 -2.085 5.908
Se 1.410 -5.454 6.800
Se -2.535 0.221 8.915
Se -1.076 2.306 5.908
Se 1.076 -2.306 8.915
Se 2.535 -0.221 5.908
Se -1.410 5.454 8.023
Se 1.459 2.085 8.915
Se 5.428 -1.506 8.023
Se 4.018 3.948 6.800
```

two) A plane-wave DFT calculation with GGA-PBE was carried out for a relaxed Pr3NdSe6 crystal.

```
20
Lattice="11.944 0.000 0.000 0.000 4.281 0.000 -3.900 0.000 11.643" Properties=species:S:1:pos:R:3 pbc="T T T"
Pr 0.189 1.070 1.967
Pr 0.215 3.211 5.861
Pr 0.484 1.070 10.683
Pr 7.560 3.211 0.960
Pr 7.828 1.070 5.781
Pr 7.855 3.211 9.676
Nd 4.242 1.070 3.616
Nd 3.802 3.211 8.027
Se -1.272 1.070 4.488
Se -2.450 1.070 10.882
Se 1.901 3.211 3.246
Se 0.799 3.211 8.734
Se 2.560 1.070 6.248
Se 4.576 3.211 1.176
Se 3.467 1.070 10.466
Se 5.484 3.211 5.394
Se 7.245 1.070 2.909
Se 6.143 1.070 8.397
Se 10.494 3.211 0.761
Se 9.316 3.211 7.155
```

Of them, one) has the lowest stability.

one) A plane-wave DFT calculation with GGA-PBE was carried out for a relaxed PrNdSi crystal.

```
6
Lattice="-2.108 3.222 6.445 2.108 -3.222 6.445 2.108 3.222 -6.445" Properties=species:S:1:pos:R:3 pbc="T T T"
Pr 0.000 1.482 0.000
Pr 0.000 4.962 0.000
Nd 0.000 0.000 3.860
Nd 0.000 0.000 9.029
Si 2.108 0.000 1.808
Si 0.000 3.222 4.636
```

two) A plane-wave DFT calculation with GGA-PBE was carried out for a relaxed PrNdSi crystal.

```
3
Lattice="0.000 3.573 3.573 3.573 0.000 3.573 3.573 3.573 0.000" Properties=species:S:1:pos:R:3 pbc="T T T"
Pr 0.000 0.000 0.000
Nd 3.573 3.573 3.573
Si 1.787 1.787 1.787
```

three) A plane-wave DFT calculation with GGA-PBE was carried out for a relaxed PrNdSi crystal.

```
9
Lattice="8.124 0.000 0.000 -4.062 7.035 0.000 0.000 0.000 4.354" Properties=species:S:1:pos:R:3 pbc="T T T"
Pr -2.389 4.139 0.000
Pr 1.672 2.897 0.000
Pr 4.779 0.000 0.000
Nd -1.067 1.848 2.177
Nd 2.134 0.000 2.177
Nd 2.995 5.187 2.177
Si 0.000 0.000 0.000
Si 0.000 4.690 2.177
Si 4.062 2.345 2.177
```

four) A plane-wave DFT calculation with GGA-PBE was carried out for a relaxed PrNdSi crystal.

```
6
Lattice="4.309 0.000 0.000 2.147 5.745 0.000 2.153 0.793 6.882" Properties=species:S:1:pos:R:3 pbc="T T T"
Pr 2.154 1.644 2.949
Pr 6.455 4.894 3.933
Nd 4.307 2.453 5.932
Nd 4.302 4.085 0.950
Si 4.300 5.912 5.843
Si 4.310 0.625 1.038
```

Of them, one) has the lowest stability.

one) A plane-wave DFT calculation with GGA-PBE was carried out for a relaxed PrNd5Sm5 crystal.

```
11
Lattice="7.060 0.000 0.000 2.263 6.704 0.000 2.037 1.574 8.262" Properties=species:S:1:pos:R:3 pbc="T T T"
Pr 0.000 0.000 0.000
Nd 1.132 3.352 0.000
Nd 2.097 1.521 2.947
Nd 5.724 6.223 5.977
Nd 5.636 2.054 2.285
Nd 9.263 6.756 5.316
Sm 3.621 4.793 2.412
Sm 4.183 2.990 5.341
Sm 3.530 0.000 0.000
Sm 7.177 5.287 2.921
Sm 7.739 3.485 5.850
```

two) A plane-wave DFT calculation with GGA-PBE was carried out for a relaxed PrNd5Sm5 crystal.

```
11
Lattice="9.414 -3.079 0.000 9.414 3.079 0.000 -2.245 0.000 6.700" Properties=species:S:1:pos:R:3 pbc="T T T"
Pr 0.000 0.000 0.000
Nd -1.122 0.000 3.350
Nd 4.371 0.000 5.422
Nd 6.239 0.000 2.358
Nd 10.345 0.000 4.342
Nd 12.213 0.000 1.278
Sm 1.201 0.000 6.203
Sm 2.396 0.000 2.798
Sm 9.414 0.000 0.000
Sm 14.188 0.000 3.902
Sm 15.383 0.000 0.496
```

Of them, two) has the lowest stability.

one) A plane-wave DFT calculation with GGA-PBE was carried out for a relaxed Pr5Nd5Sm crystal.

```
11
Lattice="7.121 0.000 0.000 2.361 6.724 0.000 2.129 1.485 8.366" Properties=species:S:1:pos:R:3 pbc="T T T"
Pr 0.000 0.000 0.000
Pr 3.787 5.189 2.985
Pr 4.290 3.470 6.061
Pr 7.322 4.739 2.304
Pr 7.824 3.020 5.381
Nd 2.175 1.948 2.332
Nd 5.918 6.699 5.387
Nd 4.741 3.362 0.000
Nd 5.693 1.510 2.979
Nd 9.436 6.261 6.034
Sm 3.560 0.000 0.000
```

two) A plane-wave DFT calculation with GGA-PBE was carried out for a relaxed Pr5Nd5Sm crystal.

```
11
Lattice="9.616 -3.102 0.000 9.616 3.102 0.000 -2.481 0.000 6.681" Properties=species:S:1:pos:R:3 pbc="T T T"
Pr 0.000 0.000 0.000
Pr 4.807 0.000 3.894
Pr 6.096 0.000 0.475
Pr 10.656 0.000 6.206
Pr 11.944 0.000 2.787
Nd 0.842 0.000 4.238
Nd 2.836 0.000 1.191
Nd 8.376 0.000 3.340
Nd 13.916 0.000 5.490
Nd 15.909 0.000 2.442
Sm 9.616 0.000 0.000
```

Of them, two) has the lowest stability.

one) A plane-wave DFT calculation with GGA-PBE was carried out for a relaxed Pr5Nd4Sm3 crystal.

```
12
Lattice="8.272 -3.054 0.000 8.272 3.054 0.000 -4.183 0.000 8.545" Properties=species:S:1:pos:R:3 pbc="T T T"
Pr 0.000 0.000 0.000
Pr 2.859 0.000 5.227
Pr 5.783 0.000 2.562
Pr 6.578 0.000 5.984
Pr 9.502 0.000 3.319
Nd -0.480 0.000 3.772
Nd -0.114 0.000 7.505
Nd 12.475 0.000 1.041
Nd 12.841 0.000 4.773
Sm 2.498 0.000 1.931
Sm 8.272 0.000 0.000
Sm 9.863 0.000 6.615
```

two) A plane-wave DFT calculation with GGA-PBE was carried out for a relaxed Pr5Nd4Sm3 crystal.

```
12
Lattice="6.379 0.000 0.000 0.007 7.357 0.000 0.012 0.001 9.032" Properties=species:S:1:pos:R:3 pbc="T T T"
Pr 0.000 0.000 0.000
Pr 2.129 3.677 6.017
Pr 3.190 5.514 0.003
Pr 3.208 1.844 9.029
Pr 4.268 3.681 3.015
Nd 1.065 1.840 3.013
Nd 2.142 7.358 6.012
Nd 4.255 0.001 3.019
Nd 5.332 5.518 6.019
Sm 0.003 3.679 0.000
Sm 1.071 5.518 3.013
Sm 5.327 1.841 6.019
```

Of them, one) has the lowest stability.